Below is a geometry-optimized YLuIn4Ni2 structure, with properties calculated at the GGA-PBE level.

Calculated values
M_tot (μB/atom): 0.000
Raw total energy (eV per atom): -4.5665

a = 7.4390 Å, b = 5.6262 Å, c = 5.6262 Å
α = 44.93°, β = 90.00°, γ = 90.00°
With the nearest neighbours (Å) after each atom.
Element x y z (fractional)
Y: 0.0000 0.0000 0.0000  3 Ni 2.96-3.10, 4 In 3.20
Lu: 0.5000 0.8656 0.8656  3 Ni 2.93-3.12, 4 In 3.19
In: 0.2018 0.2901 0.2901  3 Ni 2.67-2.74
In: 0.3010 0.5755 0.5755  3 Ni 2.67-2.72, 1 In 2.96
In: 0.6990 0.5755 0.5755  3 Ni 2.67-2.72, 1 In 2.96
In: 0.7982 0.2901 0.2901  3 Ni 2.67-2.74
Ni: 0.0000 0.7152 0.7152  6 In 2.67-2.74, 1 Y 2.96
Ni: 0.5000 0.1478 0.1478  6 In 2.67-2.72, 1 Lu 2.93